Entry 1:
{"formula": "TbGdPb", "functional": "PBE", "state": "relaxed", "formation_enthalpy_0k_kj_per_mol_atoms": -31.86, "polymorph_energy_ev_per_atom": 0.000, "lattice_angstrom": [[-1.6337, 0.7001, 3.7078], [-2.2112, -3.4516, -0.3225], [5.8024, -1.3170, 0.5254]], "species": ["Pb", "Gd", "Tb"], "fractional_positions": [[0.2847, 0.2847, 0.5694], [0.6254, 0.6254, 0.2509], [0.9398, 0.9398, 0.8797]]}

=====

Entry 2:
{"formula": "PrTmRuAu", "functional": "PBE", "state": "relaxed", "formation_enthalpy_0k_kj_per_mol_atoms": -46.04, "lattice_angstrom": [[-0.5742, -2.3912, 4.3837], [-2.4432, -4.3895, 0.1673], [2.5285, -4.2511, 0.8939]], "species": ["Pr", "Ru", "Tm", "Au"], "fractional_positions": [[0.0000, 0.0000, 0.0000], [0.7500, 0.7500, 0.7500], [0.5000, 0.5000, 0.5000], [0.2500, 0.2500, 0.2500]]}

=====

Entry 3:
{"formula": "Hg2H2Pb", "functional": "PBE", "state": "relaxed", "polymorph_energy_ev_per_atom": 0.249, "lattice_angstrom": [[7.0277, 0.0000, 0.0000], [0.0000, 7.0277, 0.0000], [0.0000, 0.0000, 3.9180]], "species": ["Pb", "Pb", "H", "H", "H", "H", "Hg", "Hg", "Hg", "Hg"], "fractional_positions": [[0.0000, 0.0000, 0.0000], [0.5000, 0.5000, 0.0000], [0.1565, 0.6565, 0.0000], [0.6565, 0.8435, 0.0000], [0.8435, 0.3435, 0.0000], [0.3435, 0.1565, 0.0000], [0.1519, 0.6519, 0.5000], [0.6519, 0.8481, 0.5000], [0.8481, 0.3481, 0.5000], [0.3481, 0.1519, 0.5000]]}

=====

Entry 4:
{"formula": "Y3Tm7Th", "functional": "PBE", "state": "relaxed", "formation_enthalpy_0k_kj_per_mol_atoms": 18.50, "polymorph_energy_ev_per_atom": 0.000, "lattice_angstrom": [[8.6036, 0.0000, 0.0000], [0.0000, 6.9685, 0.0000], [0.0000, -3.4842, 6.0349]], "species": ["Y", "Y", "Y", "Tm", "Tm", "Tm", "Tm", "Tm", "Tm", "Tm", "Th"], "fractional_positions": [[0.7825, 0.4991, 0.5009], [0.7825, 0.4991, 0.9982], [0.7825, 0.0018, 0.5009], [0.1223, 0.1693, 0.8307], [0.1223, 0.1693, 0.3385], [0.1166, 0.6667, 0.3333], [0.4460, 0.8325, 0.1675], [0.4460, 0.3351, 0.1675], [0.4460, 0.8325, 0.6649], [0.1223, 0.6615, 0.8307], [0.4459, 0.3333, 0.6667]]}

=====

Entry 5:
{"formula": "CsSn2P2", "functional": "PBE", "state": "relaxed", "formation_enthalpy_0k_kj_per_mol_atoms": 11.35, "lattice_angstrom": [[-5.4958, -6.3124, -3.3261], [6.2296, -2.1983, -6.1214], [1.3976, -2.4252, 2.2932]], "species": ["Cs", "Cs", "P", "P", "P", "P", "Sn", "Sn", "Sn", "Sn"], "fractional_positions": [[0.0000, 0.0000, 0.0000], [0.5000, 0.5000, 0.0000], [0.1290, 0.6290, 0.5000], [0.6290, 0.8710, 0.5000], [0.8710, 0.3710, 0.5000], [0.3710, 0.1290, 0.5000], [0.3813, 0.8813, 0.0000], [0.8813, 0.6187, 0.0000], [0.6187, 0.1187, 0.0000], [0.1187, 0.3813, 0.0000]]}

=====

Entry 6:
{"formula": "YHoNb", "functional": "PBE", "state": "relaxed", "formation_enthalpy_0k_kj_per_mol_atoms": 9.42, "lattice_angstrom": [[3.5162, 0.0000, 0.0000], [0.0000, 3.5162, 0.0000], [0.0000, 0.0000, 13.0710]], "species": ["Ho", "Ho", "Y", "Y", "Nb", "Nb"], "fractional_positions": [[0.0000, 0.5000, 0.5915], [0.5000, 0.0000, 0.4085], [0.5000, 0.0000, 0.7957], [0.0000, 0.5000, 0.2043], [0.0000, 0.5000, 0.9520], [0.5000, 0.0000, 0.0480]]}

=====

Entry 7:
{"formula": "Fe2ReSe", "functional": "PBE", "state": "relaxed", "energy_ev_per_atom": -7.9109, "lattice_angstrom": [[8.1842, 0.0158, 0.0093], [7.6992, 2.7754, 0.0093], [7.6992, 1.3530, 2.4233]], "species": ["Fe", "Fe", "Re", "Se"], "fractional_positions": [[0.9977, 0.9977, 0.9977], [0.5023, 0.5023, 0.5023], [0.7500, 0.7500, 0.7500], [0.2500, 0.2500, 0.2500]]}

=====

Entry 8:
{"formula": "LiTlRe2", "functional": "PBE", "state": "relaxed", "formation_enthalpy_0k_kj_per_mol_atoms": 48.14, "polymorph_energy_ev_per_atom": 0.229, "lattice_angstrom": [[2.8228, -0.0045, 0.0000], [-1.1856, 2.5618, 0.0000], [0.0000, 0.0000, 9.5387]], "species": ["Li", "Re", "Re", "Tl"], "fractional_positions": [[0.5000, 0.5000, 0.7667], [0.0000, 0.0000, 0.0043], [0.5000, 0.5000, 0.2243], [0.0000, 0.0000, 0.5047]]}

=====

Entry 9:
{"formula": "PuGa2Ni3", "functional": "PBE", "state": "relaxed", "formation_enthalpy_0k_kj_per_mol_atoms": -27.01, "lattice_angstrom": [[3.8452, 0.0000, 0.0000], [-1.9226, 7.4251, 0.0999], [0.0000, -3.2510, 6.6038]], "species": ["Pu", "Pu", "Ga", "Ga", "Ga", "Ga", "Ni", "Ni", "Ni", "Ni", "Ni", "Ni"], "fractional_positions": [[0.8475, 0.6951, 0.9415], [0.1525, 0.3049, 0.0585], [0.4754, 0.9509, 0.8143], [0.5246, 0.0491, 0.1857], [0.8117, 0.6233, 0.3263], [0.1883, 0.3767, 0.6737], [0.3130, 0.6260, 0.5452], [0.9654, 0.9308, 0.6232], [0.5847, 0.1694, 0.6512], [0.4153, 0.8306, 0.3488], [0.0346, 0.0692, 0.3768], [0.6870, 0.3740, 0.4548]]}

=====

Entry 10:
{"formula": "ZrZn6Cu6", "functional": "PBE", "state": "relaxed", "formation_enthalpy_0k_kj_per_mol_atoms": -12.90, "lattice_angstrom": [[-2.7514, 4.0612, -0.5080], [-5.9517, -1.3397, -2.4135], [-3.5626, 1.2519, 5.3650]], "species": ["Zr", "Zn", "Zn", "Zn", "Zn", "Zn", "Zn", "Cu", "Cu", "Cu", "Cu", "Cu", "Cu"], "fractional_positions": [[0.0000, 0.0000, 0.0000], [0.3469, 0.6531, 0.6531], [0.6531, 0.3469, 0.3469], [0.0000, 0.3420, 0.6580], [0.0000, 0.6580, 0.3420], [0.3042, 0.1958, 0.1958], [0.6958, 0.8042, 0.8042], [0.0000, 0.5000, 0.0000], [0.5000, 0.5000, 0.0000], [0.0000, 0.0000, 0.5000], [0.5000, 0.0000, 0.5000], [0.5000, 0.7775, 0.2225], [0.5000, 0.2225, 0.7775]]}

=====

Entry 11:
{"formula": "Mg2SbBr", "functional": "PBE", "state": "relaxed", "polymorph_energy_ev_per_atom": 0.269, "lattice_angstrom": [[3.7745, -0.0637, 0.0000], [-1.1660, 3.5904, 0.0000], [0.0000, 0.0000, 7.8738]], "species": ["Br", "Mg", "Mg", "Sb"], "fractional_positions": [[0.5000, 0.5000, 0.7500], [0.0000, 0.0000, 0.0194], [0.0000, 0.0000, 0.4806], [0.5000, 0.5000, 0.2500]]}

=====

Copy entry 6 word for word.
{"formula": "YHoNb", "functional": "PBE", "state": "relaxed", "formation_enthalpy_0k_kj_per_mol_atoms": 9.42, "lattice_angstrom": [[3.5162, 0.0000, 0.0000], [0.0000, 3.5162, 0.0000], [0.0000, 0.0000, 13.0710]], "species": ["Ho", "Ho", "Y", "Y", "Nb", "Nb"], "fractional_positions": [[0.0000, 0.5000, 0.5915], [0.5000, 0.0000, 0.4085], [0.5000, 0.0000, 0.7957], [0.0000, 0.5000, 0.2043], [0.0000, 0.5000, 0.9520], [0.5000, 0.0000, 0.0480]]}